Record 1
RbMnSiN2 | PBE-GGA | optimized geometry

a b c (Å): 3.7417 3.7417 6.0269
angles (deg): 90.00 90.00 90.00
Space group P4/mmm (No. 123)
Symmetry-distinct sites (fractional):
Rb (0.0000, 0.0000, 0.0000) (multiplicity 1)
Mn (0.5000, 0.5000, 0.0000) (multiplicity 1)
Si (0.0000, 0.0000, 0.5000) (multiplicity 1)
N (0.0000, 0.5000, 0.5000) (multiplicity 2)

E_tot: -0.177 hartree per atom



Record 2
Ta2WBr | PBE-GGA | optimized geometry

a b c (Å): 6.6034 6.6034 6.6034
angles (deg): 90.00 90.00 90.00
Space group F-43m (No. 216)
Symmetry-distinct sites (fractional):
Ta (0.0000, 0.0000, 0.0000) (multiplicity 4)
Ta (0.2500, 0.2500, 0.2500) (multiplicity 4)
W (0.0000, 0.0000, 0.5000) (multiplicity 4)
Br (0.2500, 0.2500, 0.7500) (multiplicity 4)

E above lowest polymorph: 865.1 meV/atom



Record 3
LiPm3Ag4 | PBE-GGA | optimized geometry

a b c (Å): 5.1710 5.1710 25.2024
angles (deg): 90.00 90.00 120.00
Space group R-3m (No. 166, hexagonal axes)
Symmetry-distinct sites (fractional):
Li (0.0000, 0.0000, 0.0000) (multiplicity 3)
Pm (0.0000, 0.0000, 0.2547) (multiplicity 6)
Pm (0.0000, 0.0000, 0.5000) (multiplicity 3)
Ag (0.0000, 0.0000, 0.1223) (multiplicity 6)
Ag (0.0000, 0.0000, 0.3766) (multiplicity 6)

formation enthalpy at 0 K: -0.215 eV per atom



Record 4
NbSn2S2 | PBE-GGA | optimized geometry

a b c (Å): 3.7826 3.7826 16.1482
angles (deg): 90.00 90.00 90.00
Space group I4/mmm (No. 139)
Symmetry-distinct sites (fractional):
Nb (0.0000, 0.0000, 0.0000) (multiplicity 2)
Sn (0.0000, 0.5000, 0.2500) (multiplicity 4)
S (0.0000, 0.0000, 0.4169) (multiplicity 4)

E above lowest polymorph: 695.8 meV/atom



Record 5
PmHo4Te5 | PBE-GGA | optimized geometry

a b c (Å): 4.3302 4.3302 31.3559
angles (deg): 90.00 90.00 90.00
Space group I4/mmm (No. 139)
Symmetry-distinct sites (fractional):
Pm (0.0000, 0.0000, 0.0000) (multiplicity 2)
Ho (0.0000, 0.0000, 0.2090) (multiplicity 4)
Ho (0.0000, 0.0000, 0.4058) (multiplicity 4)
Te (0.0000, 0.0000, 0.1048) (multiplicity 4)
Te (0.0000, 0.0000, 0.3061) (multiplicity 4)
Te (0.0000, 0.0000, 0.5000) (multiplicity 2)

E_tot: -0.189 hartree per atom



Record 6
Pr7Dy4Ho | PBE-GGA | optimized geometry

a b c (Å): 16.2917 6.0533 9.4790
angles (deg): 90.00 116.24 90.00
Space group C2/m (No. 12)
Symmetry-distinct sites (fractional):
Pr (0.0000, 0.0000, 0.0000) (multiplicity 2)
Pr (0.0844, 0.5000, 0.4452) (multiplicity 4)
Pr (0.2095, 0.5000, 0.8816) (multiplicity 4)
Pr (0.2105, 0.5000, 0.2333) (multiplicity 4)
Dy (0.0708, 0.0000, 0.6969) (multiplicity 4)
Dy (0.1713, 0.0000, 0.3863) (multiplicity 4)
Ho (0.0000, 0.5000, 0.0000) (multiplicity 2)

E above lowest polymorph: 202.2 meV/atom
formation enthalpy at 0 K: 0.213 eV per atom



Record 7
HoGa3Cu3 | PBE-GGA | optimized geometry

a b c (Å): 6.5669 6.5669 6.5669
angles (deg): 90.00 90.00 90.00
Space group Pm-3n (No. 223)
Symmetry-distinct sites (fractional):
Ho (0.0000, 0.0000, 0.0000) (multiplicity 2)
Ga (0.0000, 0.2500, 0.5000) (multiplicity 6)
Cu (0.0000, 0.5000, 0.2500) (multiplicity 6)

E above lowest polymorph: 443.8 meV/atom
formation enthalpy at 0 K: 0.164 eV per atom



Record 8
CaTa2Os | PBE-GGA | optimized geometry

a b c (Å): 3.2992 4.8277 9.6489
angles (deg): 90.00 90.00 90.00
Space group Cmm2 (No. 35)
Symmetry-distinct sites (fractional):
Ca (0.0000, 0.0000, 0.0000) (multiplicity 2)
Ta (0.0000, 0.0000, 0.5391) (multiplicity 2)
Ta (0.0000, 0.5000, 0.3011) (multiplicity 2)
Os (0.0000, 0.5000, 0.7495) (multiplicity 2)

E above lowest polymorph: 139.1 meV/atom
formation enthalpy at 0 K: 0.342 eV per atom



Record 9
LaTb5Dy2 | PBE-GGA | optimized geometry

a b c (Å): 7.1750 14.3503 5.0519
angles (deg): 90.00 90.00 90.00
Space group Pbam (No. 55)
Symmetry-distinct sites (fractional):
La (0.0000, 0.0000, 0.0000) (multiplicity 2)
Tb (0.0000, 0.5000, 0.0000) (multiplicity 2)
Tb (0.0008, 0.2521, 0.0000) (multiplicity 4)
Tb (0.2484, 0.6262, 0.5000) (multiplicity 4)
Dy (0.2496, 0.3737, 0.5000) (multiplicity 4)

formation enthalpy at 0 K: 0.021 eV per atom



Record 10
Dy2InGa2Ir5 | PBE-GGA | optimized geometry

a b c (Å): 9.7811 9.7811 3.6689
angles (deg): 90.00 90.00 90.00
Space group P4/mbm (No. 127)
Symmetry-distinct sites (fractional):
Dy (0.1752, 0.3248, 0.0000) (multiplicity 4)
In (0.0000, 0.0000, 0.0000) (multiplicity 2)
Ga (0.1234, 0.6234, 0.0000) (multiplicity 4)
Ir (0.0000, 0.5000, 0.5000) (multiplicity 2)
Ir (0.0665, 0.7905, 0.5000) (multiplicity 8)

formation enthalpy at 0 K: -0.600 eV per atom



Record 11
ScReSi2 | PBE-GGA | optimized geometry

a b c (Å): 5.5955 7.2577 3.1063
angles (deg): 90.00 103.53 90.00
Space group C2/m (No. 12)
Symmetry-distinct sites (fractional):
Sc (0.0000, 0.0000, 0.0000) (multiplicity 2)
Re (0.0000, 0.5000, 0.0000) (multiplicity 2)
Si (0.2500, 0.2500, 0.5000) (multiplicity 4)

E_tot: -0.278 hartree per atom



Record 12
Be2RhAu | PBE-GGA | optimized geometry

a b c (Å): 6.1547 6.1547 5.4686
angles (deg): 90.00 90.00 90.00
Space group I-42d (No. 122)
Symmetry-distinct sites (fractional):
Be (0.2394, 0.2500, 0.1250) (multiplicity 8)
Rh (0.0000, 0.0000, 0.0000) (multiplicity 4)
Au (0.0000, 0.0000, 0.5000) (multiplicity 4)

E above lowest polymorph: 431.9 meV/atom
formation enthalpy at 0 K: -0.033 eV per atom



Record 13
Li2Hg4Rh | PBE-GGA | optimized geometry

a b c (Å): 6.2407 6.2407 7.0190
angles (deg): 90.00 90.00 90.00
Space group I4/mmm (No. 139)
Symmetry-distinct sites (fractional):
Li (0.0000, 0.5000, 0.0000) (multiplicity 4)
Hg (0.2500, 0.2500, 0.2500) (multiplicity 8)
Rh (0.0000, 0.0000, 0.0000) (multiplicity 2)

formation enthalpy at 0 K: -0.214 eV per atom



We obtain total magnetization values of 1.003, 0.000, 0.000, 0.281, 0.000, 0.000, 0.000, 0.000, 0.000, 0.000, 0.000, 0.000, 0.000 μB/atom for the records listed above, in that order.
We obtain Fermi-level density of states values of 0.667, 1.461, 0.786, 0.684, 0.537, 1.614, 0.604, 0.786, 1.346, 0.521, 0.416, 0.117, 0.391 states/eV/atom for the records listed above, in that order.